Below is a geometry-optimized BaNa2SnBi2 structure, with properties calculated at the PBE-GGA level. Values from VASP.

Structure (Quantum ESPRESSO input):
```
&SYSTEM
  ibrav = 0, nat = 12, ntyp = 4
/
ATOMIC_SPECIES
Ba 137.33 Ba.upf
Na 22.99 Na.upf
Sn 118.71 Sn.upf
Bi 208.98 Bi.upf
CELL_PARAMETERS angstrom
-2.1615 0.6933 -4.8827
-7.8448 0.3112 3.5170
0.7964 9.2366 0.9590
ATOMIC_POSITIONS crystal
Ba 0.0000 0.9999 0.4530
Ba 0.0000 0.4999 0.5470
Na 0.5000 0.0260 0.0699
Na 0.0000 0.3550 0.1570
Na 0.5000 0.5260 0.9301
Na 0.0000 0.8550 0.8430
Sn 0.5000 0.1528 0.6951
Sn 0.5000 0.6528 0.3049
Bi 0.0000 0.2318 0.8379
Bi 0.5000 0.2801 0.3588
Bi 0.0000 0.7318 0.1621
Bi 0.5000 0.7801 0.6412
```

Values from the calculation:
- spin magnetization (μB/cell) = 0.0
- SG = Pmc2_1, No. 26
- crystal system = orthorhombic
- raw total energy (eV per cell) = -38.126
- DFT formation energy (meV per atom) = -456

---

Below is a geometry-optimized Tb8Ho6Cd structure, with properties calculated at the PBE-GGA level. Values from VASP.

Structure (Quantum ESPRESSO input):
```
&SYSTEM
  ibrav = 0, nat = 15, ntyp = 3
/
ATOMIC_SPECIES
Tb 158.93 Tb.upf
Ho 164.93 Ho.upf
Cd 112.41 Cd.upf
CELL_PARAMETERS angstrom
-0.0466 5.9507 -1.9364
-9.3103 -0.3458 -0.8385
3.8720 2.6624 8.0885
ATOMIC_POSITIONS crystal
Tb 0.8105 0.0405 0.2665
Tb 0.8105 0.7335 0.7741
Tb 0.8105 0.2259 0.9595
Tb 0.1895 0.9595 0.7335
Tb 0.1895 0.2665 0.2259
Tb 0.1895 0.7741 0.0405
Tb 0.8126 0.3333 0.6667
Tb 0.1874 0.6667 0.3333
Ho 0.6853 0.6383 0.0937
Ho 0.6853 0.9063 0.5447
Ho 0.6853 0.4553 0.3617
Ho 0.3147 0.3617 0.9063
Ho 0.3147 0.0937 0.4553
Ho 0.3147 0.5447 0.6383
Cd 0.5000 0.0000 0.0000
```

Values from the calculation:
- spin magnetization (μB/cell) = 0.0
- SG = P-3, No. 147
- crystal system = trigonal
- raw total energy (eV per cell) = -63.897
- DFT formation energy (meV per atom) = 102

---

Below is a geometry-optimized NiPPt structure, with properties calculated at the PBE-GGA level. Values from VASP.

Structure (Quantum ESPRESSO input):
```
&SYSTEM
  ibrav = 0, nat = 3, ntyp = 3
/
ATOMIC_SPECIES
Ni 58.69 Ni.upf
P 30.97 P.upf
Pt 195.08 Pt.upf
CELL_PARAMETERS angstrom
0.0000 2.1182 4.3684
2.1146 0.0000 4.3684
2.1146 2.1182 0.0000
ATOMIC_POSITIONS crystal
Ni 0.0285 0.0285 0.9715
P 0.6420 0.6420 0.3580
Pt 0.3295 0.3295 0.6705
```

Values from the calculation:
- spin magnetization (μB/cell) = 0.0
- SG = Fmm2, No. 42
- crystal system = orthorhombic
- raw total energy (eV per cell) = -17.671
- DFT formation energy (meV per atom) = -146

---

Below is a geometry-optimized La3Ni4 structure, with properties calculated at the PBE-GGA level. Values from VASP.

Structure (Quantum ESPRESSO input):
```
&SYSTEM
  ibrav = 0, nat = 14, ntyp = 2
/
ATOMIC_SPECIES
La 138.91 La.upf
Ni 58.69 Ni.upf
CELL_PARAMETERS angstrom
-0.1037 2.3029 3.8451
3.4245 -3.9793 -0.1380
9.6796 8.4949 -4.8268
ATOMIC_POSITIONS crystal
La 0.7575 0.5150 0.0996
La 0.2465 0.4929 0.9011
La 0.7565 0.5130 0.4014
La 0.2461 0.4922 0.6000
La 0.0580 0.1159 0.2506
La 0.9449 0.8898 0.7505
Ni 0.3547 0.7093 0.2501
Ni 0.6476 0.2953 0.7504
Ni 0.4644 0.9288 0.0863
Ni 0.0008 0.0016 0.0013
Ni 0.4628 0.9255 0.4144
Ni 0.5393 0.0785 0.9149
Ni 0.9984 0.9968 0.4982
Ni 0.5388 0.0776 0.5859
```

Values from the calculation:
- spin magnetization (μB/cell) = 0.0
- SG = Cm, No. 8
- crystal system = monoclinic
- raw total energy (eV per cell) = -82.794
- energy relative to the lowest polymorph listed for this composition (meV per atom) = 0
- DFT formation energy (meV per atom) = -498

---

Below is a geometry-optimized CuP2Ir structure, with properties calculated at the PBE-GGA level. Values from VASP.

Structure (Quantum ESPRESSO input):
```
&SYSTEM
  ibrav = 0, nat = 4, ntyp = 3
/
ATOMIC_SPECIES
Cu 63.55 Cu.upf
Ir 192.22 Ir.upf
P 30.97 P.upf
CELL_PARAMETERS angstrom
3.9886 -0.0220 -0.0203
2.5102 3.0997 -0.0203
0.0243 0.0115 4.9835
ATOMIC_POSITIONS crystal
Cu 0.4471 0.4471 0.7231
Ir 0.3076 0.3076 0.2190
P 0.0129 0.0129 0.0410
P 0.7324 0.7324 0.5169
```

Values from the calculation:
- spin magnetization (μB/cell) = 0.0
- SG = Cm, No. 8
- crystal system = monoclinic
- raw total energy (eV per cell) = -24.369
- energy relative to the lowest polymorph listed for this composition (meV per atom) = 0
- DFT formation energy (meV per atom) = -148

---

Below is a geometry-optimized Dy2OsPbO8 structure, with properties calculated at the PBE-GGA level. Values from VASP.

Structure (Quantum ESPRESSO input):
```
&SYSTEM
  ibrav = 0, nat = 12, ntyp = 4
/
ATOMIC_SPECIES
Dy 162.50 Dy.upf
Os 190.23 Os.upf
Pb 207.20 Pb.upf
O 16.00 O.upf
CELL_PARAMETERS angstrom
-4.4605 1.4411 1.7949
-1.7899 0.1234 -4.6861
-1.9002 -6.5703 0.5523
ATOMIC_POSITIONS crystal
Dy 0.5000 0.5000 0.7483
Dy 0.5000 0.5000 0.2517
Os 0.0000 0.0000 0.0000
Pb 0.0000 0.0000 0.5000
O 0.1822 0.8173 0.2110
O 0.7356 0.7361 0.0000
O 0.8178 0.1827 0.2110
O 0.8178 0.1827 0.7890
O 0.2644 0.2639 0.0000
O 0.1822 0.8173 0.7890
O 0.6885 0.6891 0.5000
O 0.3115 0.3109 0.5000
```

Values from the calculation:
- spin magnetization (μB/cell) = 0.0
- SG = Cmmm, No. 65
- crystal system = orthorhombic
- raw total energy (eV per cell) = -88.220